Record 1
# AlHSeS, relaxed, DFT GGA-PBE
data_AlHSeS
_chemical_formula_sum 'Al2 H2 Se2 S2'
_cell_length_a 6.6279
_cell_length_b 3.8571
_cell_length_c 7.3026
_cell_angle_alpha 90.00
_cell_angle_beta 94.55
_cell_angle_gamma 90.00
_space_group_name_H-M_alt 'C 1 m 1'
_space_group_IT_number 8
loop_
_space_group_symop_operation_xyz
'x,y,z'
'x,-y,z'
'x+1/2,y+1/2,z'
'x+1/2,-y+1/2,z'
loop_
_atom_site_label
_atom_site_type_symbol
_atom_site_fract_x
_atom_site_fract_y
_atom_site_fract_z
Al1 Al 0.0000 0.0000 0.0000
H1 H 0.2010 0.0000 0.3278
Se1 Se 0.1545 0.5000 0.8494
S1 S 0.4958 0.5000 0.3008
# - E: -4.2993 eV per atom

***

Record 2
# AlSiH2S4, relaxed, DFT GGA-PBE
data_AlSiH2S4
_chemical_formula_sum 'Al2 Si2 H4 S8'
_cell_length_a 7.0141
_cell_length_b 7.3735
_cell_length_c 6.0337
_cell_angle_alpha 90.00
_cell_angle_beta 90.00
_cell_angle_gamma 90.00
_space_group_name_H-M_alt 'P m n 21'
_space_group_IT_number 31
loop_
_space_group_symop_operation_xyz
'x,y,z'
'-x+1/2,-y,z+1/2'
'-x,y,z'
'x+1/2,-y,z+1/2'
loop_
_atom_site_label
_atom_site_type_symbol
_atom_site_fract_x
_atom_site_fract_y
_atom_site_fract_z
Al1 Al 0.0000 0.1492 0.0000
Si1 Si 0.0000 0.8479 0.4987
H1 H 0.2504 0.1282 0.6313
S1 S 0.0000 0.1314 0.6162
S2 S 0.0000 0.8578 0.1324
S3 S 0.2396 0.6968 0.6027
# - E: -4.4027 eV per atom

***

Record 3
# AlSbH3, relaxed, DFT GGA-PBE
data_AlSbH3
_chemical_formula_sum 'Al1 Sb1 H3'
_cell_length_a 4.0837
_cell_length_b 4.0837
_cell_length_c 4.0837
_cell_angle_alpha 90.00
_cell_angle_beta 90.00
_cell_angle_gamma 90.00
_space_group_name_H-M_alt 'P m -3 m'
_space_group_IT_number 221
_space_group_name_Hall '-P 4 2 3'
loop_
_atom_site_label
_atom_site_type_symbol
_atom_site_fract_x
_atom_site_fract_y
_atom_site_fract_z
Al1 Al 0.0000 0.0000 0.0000
Sb1 Sb 0.5000 0.5000 0.5000
H1 H 0.0000 0.5000 0.5000
# - E above lowest polymorph: 0.1571 eV/atom